# 1
{"formula": "CoTcRh2", "functional": "GGA-PBE", "state": "relaxed", "ef_ev_per_atom": 0.035, "de_polymorph_mev_per_atom": 54, "total_energy_ev_per_cell": -32.0, "lattice_angstrom": [[1.3557, 0.7827, 8.5728], [-1.3557, 0.7827, 8.5728], [0.0000, -1.5654, 8.5728]], "species": ["Co", "Tc", "Rh", "Rh"], "frac_coords": [[0.0000, 0.0000, 0.0000], [0.5000, 0.5000, 0.5000], [0.2515, 0.2515, 0.2515], [0.7485, 0.7485, 0.7485]]}

=====

# 2
{"formula": "KSn4Au3", "functional": "GGA-PBE", "state": "relaxed", "ef_ev_per_atom": -0.226, "total_energy_ev_per_cell": -28.8, "lattice_angstrom": [[4.8760, 0.0000, 0.0000], [0.0000, 4.8760, 0.0000], [0.0000, 0.0000, 8.9487]], "species": ["K", "Sn", "Sn", "Sn", "Sn", "Au", "Au", "Au"], "frac_coords": [[0.0000, 0.0000, 0.0000], [0.0000, 0.5000, 0.3189], [0.0000, 0.5000, 0.6811], [0.5000, 0.0000, 0.3189], [0.5000, 0.0000, 0.6811], [0.0000, 0.0000, 0.5000], [0.5000, 0.5000, 0.1545], [0.5000, 0.5000, 0.8455]]}

=====

# 3
{"formula": "GeHS2", "functional": "GGA-PBE", "state": "relaxed", "de_polymorph_mev_per_atom": 42, "total_energy_ev_per_cell": -16.3, "lattice_angstrom": [[1.8710, 1.0802, 6.0069], [-1.8710, 1.0802, 6.0069], [0.0000, -2.1604, 6.0069]], "species": ["Ge", "H", "S", "S"], "frac_coords": [[0.0000, 0.0000, 0.0000], [0.5000, 0.5000, 0.5000], [0.4097, 0.4097, 0.4097], [0.5903, 0.5903, 0.5903]]}

=====

# 4
{"formula": "Be2NiRu", "functional": "GGA-PBE", "state": "relaxed", "ef_ev_per_atom": -0.368, "total_energy_ev_per_cell": -24.0, "lattice_angstrom": [[0.0000, 2.7040, 2.7040], [2.7040, 0.0000, 2.7040], [2.7040, 2.7040, 0.0000]], "species": ["Be", "Be", "Ni", "Ru"], "frac_coords": [[0.2500, 0.2500, 0.2500], [0.7500, 0.7500, 0.7500], [0.0000, 0.0000, 0.0000], [0.5000, 0.5000, 0.5000]]}

=====

# 5
{"formula": "Ho3CdHg7", "functional": "GGA-PBE", "state": "relaxed", "ef_ev_per_atom": -0.167, "total_energy_ev_per_cell": -37.2, "lattice_angstrom": [[1.7821, -16.6082, 0.0000], [1.7821, 16.6082, 0.0000], [0.0000, 0.0000, 11.1128]], "species": ["Ho", "Ho", "Ho", "Ho", "Ho", "Ho", "Cd", "Cd", "Hg", "Hg", "Hg", "Hg", "Hg", "Hg", "Hg", "Hg", "Hg", "Hg", "Hg", "Hg", "Hg", "Hg"], "frac_coords": [[0.0633, 0.9367, 0.5662], [0.0633, 0.9367, 0.9338], [0.1766, 0.8234, 0.2500], [0.8234, 0.1766, 0.7500], [0.9367, 0.0633, 0.0662], [0.9367, 0.0633, 0.4338], [0.0797, 0.9203, 0.2500], [0.9203, 0.0797, 0.7500], [0.2729, 0.7271, 0.5803], [0.2729, 0.7271, 0.9197], [0.3698, 0.6302, 0.5536], [0.3698, 0.6302, 0.9464], [0.3914, 0.6086, 0.2500], [0.4854, 0.5146, 0.6239], [0.4854, 0.5146, 0.8761], [0.5146, 0.4854, 0.1239], [0.5146, 0.4854, 0.3761], [0.6086, 0.3914, 0.7500], [0.6302, 0.3698, 0.0536], [0.6302, 0.3698, 0.4464], [0.7271, 0.2729, 0.0803], [0.7271, 0.2729, 0.4197]]}

=====

# 6
{"formula": "NdSn3Pd5", "functional": "GGA-PBE", "state": "relaxed", "ef_ev_per_atom": -0.576, "total_energy_ev_per_cell": -95.9, "lattice_angstrom": [[1.9894, -7.0983, 0.0000], [1.9894, 7.0983, 0.0000], [0.0000, 0.0000, 13.5726]], "species": ["Nd", "Nd", "Sn", "Sn", "Sn", "Sn", "Sn", "Sn", "Pd", "Pd", "Pd", "Pd", "Pd", "Pd", "Pd", "Pd", "Pd", "Pd"], "frac_coords": [[0.1046, 0.8954, 0.7500], [0.8954, 0.1046, 0.2500], [0.1368, 0.8632, 0.2500], [0.3781, 0.6219, 0.0456], [0.3781, 0.6219, 0.4544], [0.6219, 0.3781, 0.5456], [0.6219, 0.3781, 0.9544], [0.8632, 0.1368, 0.7500], [0.0000, 0.0000, 0.0000], [0.0000, 0.0000, 0.5000], [0.1961, 0.8039, 0.0660], [0.1961, 0.8039, 0.4340], [0.4544, 0.5456, 0.6474], [0.4544, 0.5456, 0.8526], [0.5456, 0.4544, 0.1474], [0.5456, 0.4544, 0.3526], [0.8039, 0.1961, 0.5660], [0.8039, 0.1961, 0.9340]]}

=====

# 7
{"formula": "PaAlRe", "functional": "GGA-PBE", "state": "relaxed", "ef_ev_per_atom": -0.245, "de_polymorph_mev_per_atom": 64, "total_energy_ev_per_cell": -52.8, "lattice_angstrom": [[2.1355, -4.9058, 0.0000], [2.1355, 4.9058, 0.0000], [0.0000, 0.0000, 5.5819]], "species": ["Pa", "Pa", "Al", "Al", "Re", "Re"], "frac_coords": [[0.2061, 0.7939, 0.7500], [0.7939, 0.2061, 0.2500], [0.5000, 0.5000, 0.0000], [0.5000, 0.5000, 0.5000], [0.0859, 0.9141, 0.2500], [0.9141, 0.0859, 0.7500]]}

=====

# 8
{"formula": "PuBiClO4", "functional": "GGA-PBE", "state": "relaxed", "e_form_raw_ev_per_atom": -1.69, "total_energy_ev_per_cell": -103.4, "lattice_angstrom": [[6.2133, -3.6990, 0.0000], [6.2133, 3.6990, 0.0000], [-2.3182, 0.0000, 6.5631]], "species": ["Pu", "Pu", "Bi", "Bi", "Cl", "Cl", "O", "O", "O", "O", "O", "O", "O", "O"], "frac_coords": [[0.1219, 0.1219, 0.2156], [0.8781, 0.8781, 0.7844], [0.2640, 0.2640, 0.8269], [0.7360, 0.7360, 0.1731], [0.4472, 0.4472, 0.7258], [0.5528, 0.5528, 0.2742], [0.0379, 0.4243, 0.2107], [0.0717, 0.0717, 0.9050], [0.1489, 0.1489, 0.5098], [0.4243, 0.0379, 0.2107], [0.5757, 0.9621, 0.7893], [0.8511, 0.8511, 0.4902], [0.9283, 0.9283, 0.0950], [0.9621, 0.5757, 0.7893]]}

=====

# 9
{"formula": "Na2NiPt3", "functional": "GGA-PBE", "state": "relaxed", "ef_ev_per_atom": -0.270, "total_energy_ev_per_cell": -28.2, "lattice_angstrom": [[2.6822, 1.5486, 4.1244], [-2.6822, 1.5486, 4.1244], [0.0000, -3.0971, 4.1244]], "species": ["Na", "Na", "Ni", "Pt", "Pt", "Pt"], "frac_coords": [[0.1234, 0.1234, 0.1234], [0.8766, 0.8766, 0.8766], [0.5000, 0.5000, 0.5000], [0.0000, 0.5000, 0.5000], [0.5000, 0.0000, 0.5000], [0.5000, 0.5000, 0.0000]]}

=====

# 10
{"formula": "Ta2CdPt", "functional": "GGA-PBE", "state": "relaxed", "ef_ev_per_atom": -0.121, "total_energy_ev_per_cell": -31.1, "lattice_angstrom": [[3.0846, 0.0000, 0.0000], [0.0000, 3.7314, 0.0000], [0.0000, 0.0000, 6.2585]], "species": ["Ta", "Ta", "Cd", "Pt"], "frac_coords": [[0.0000, 0.0000, 0.0000], [0.5000, 0.5000, 0.2496], [0.0000, 0.0000, 0.5179], [0.5000, 0.5000, 0.7687]]}

=====

# 11
{"formula": "La2Pr2SmAg5", "functional": "GGA-PBE", "state": "relaxed", "ef_ev_per_atom": -0.111, "total_energy_ev_per_cell": -79.0, "lattice_angstrom": [[11.1521, 0.0000, 0.0000], [0.0000, 11.1521, 0.0000], [0.0000, 0.0000, 4.3903]], "species": ["La", "La", "La", "La", "Pr", "Pr", "Pr", "Pr", "Sm", "Sm", "Ag", "Ag", "Ag", "Ag", "Ag", "Ag", "Ag", "Ag", "Ag", "Ag"], "frac_coords": [[0.1721, 0.3279, 0.0000], [0.3279, 0.8279, 0.0000], [0.6721, 0.1721, 0.0000], [0.8279, 0.6721, 0.0000], [0.1298, 0.6298, 0.0000], [0.3702, 0.1298, 0.0000], [0.6298, 0.8702, 0.0000], [0.8702, 0.3702, 0.0000], [0.0000, 0.0000, 0.0000], [0.5000, 0.5000, 0.0000], [0.0000, 0.5000, 0.5000], [0.0618, 0.8153, 0.5000], [0.1847, 0.0618, 0.5000], [0.3153, 0.5618, 0.5000], [0.4382, 0.3153, 0.5000], [0.5000, 0.0000, 0.5000], [0.5618, 0.6847, 0.5000], [0.6847, 0.4382, 0.5000], [0.8153, 0.9382, 0.5000], [0.9382, 0.1847, 0.5000]]}

=====

# 12
{"formula": "Li6Pd2Pt3", "functional": "GGA-PBE", "state": "relaxed", "ef_ev_per_atom": -0.356, "total_energy_ev_per_cell": -43.9, "lattice_angstrom": [[4.6138, -6.3896, 0.0000], [4.6138, 6.3896, 0.0000], [0.0000, 0.0000, 2.7469]], "species": ["Li", "Li", "Li", "Li", "Li", "Li", "Pd", "Pd", "Pt", "Pt", "Pt"], "frac_coords": [[0.1342, 0.4210, 0.0000], [0.1383, 0.8617, 0.0000], [0.4210, 0.1342, 0.0000], [0.5790, 0.8658, 0.0000], [0.8617, 0.1383, 0.0000], [0.8658, 0.5790, 0.0000], [0.1497, 0.1497, 0.5000], [0.8503, 0.8503, 0.5000], [0.3113, 0.6887, 0.5000], [0.5000, 0.5000, 0.0000], [0.6887, 0.3113, 0.5000]]}